The following is a meta-GGA SCAN calculation of Mo13W3 at its PBEsol-relaxed geometry, from the Alexandria database.

abc: 6.261 6.262 6.262
angles: 89.99 90.00 90.00
Fractional coordinates of all 16 atoms:
Mo 0.750 0.500 0.000
Mo 0.750 0.500 0.500
Mo 0.750 0.000 0.500
Mo 0.000 0.250 0.750
Mo 0.000 0.750 0.250
Mo 0.000 0.750 0.750
Mo 0.250 0.500 0.000
Mo 0.250 0.500 0.500
Mo 0.250 0.000 0.500
Mo 0.500 0.250 0.250
Mo 0.500 0.251 0.750
Mo 0.500 0.750 0.251
Mo 0.500 0.750 0.750
W 0.750 0.000 0.000
W 0.000 0.251 0.251
W 0.250 0.000 0.000

## Properties
Symmetry = Amm2, No. 38
N(E_F) = 0.60 states/eV per atom
Total magnetic moment = 0.00 μB/atom
Calculated formation energy = 0.000 eV per atom

***

The following is a meta-GGA SCAN calculation of Ga4Bi2O9 at its PBEsol-relaxed geometry, from the Alexandria database.

abc: 5.926 7.880 8.353
angles: 90.00 90.00 90.00
Fractional coordinates of all 30 atoms:
Ga 0.500 0.147 0.665
Ga 0.500 0.853 0.335
Ga 0.500 0.647 0.835
Ga 0.500 0.353 0.165
Ga 0.258 0.500 0.500
Ga 0.742 0.000 0.000
Ga 0.742 0.500 0.500
Ga 0.258 0.000 0.000
Bi 0.000 0.329 0.828
Bi 0.000 0.671 0.172
Bi 0.000 0.829 0.672
Bi 0.000 0.171 0.328
O 0.500 0.500 0.000
O 0.500 0.000 0.500
O 0.241 0.873 0.209
O 0.241 0.127 0.791
O 0.759 0.373 0.291
O 0.759 0.627 0.709
O 0.759 0.127 0.791
O 0.759 0.873 0.209
O 0.241 0.627 0.709
O 0.241 0.373 0.291
O 0.500 0.368 0.593
O 0.500 0.632 0.407
O 0.000 0.152 0.065
O 0.000 0.848 0.935
O 0.000 0.652 0.435
O 0.000 0.348 0.565
O 0.500 0.132 0.093
O 0.500 0.868 0.907

## Properties
Symmetry = Pbam, No. 55
N(E_F) = 0.00 states/eV per atom
E_form (uncorrected) = -1.77 eV per atom
Total magnetic moment = 0.00 μB/atom

***

The following is a meta-GGA SCAN calculation of SiTcOs2 at its PBEsol-relaxed geometry, from the Alexandria database.

abc: 3.725 3.725 4.709
angles: 113.30 113.30 90.00
Fractional coordinates of all 4 atoms:
Os 0.000 0.000 0.000
Os 0.750 0.250 0.500
Si 0.500 0.500 0.000
Tc 0.250 0.750 0.500

## Properties
Symmetry = I-4m2, No. 119
N(E_F) = 0.80 states/eV per atom
E_form (uncorrected) = 0.03 eV per atom
Total magnetic moment = 0.00 μB/atom

***

The following is a meta-GGA SCAN calculation of LiBiAs2Br at its PBEsol-relaxed geometry, from the Alexandria database.

abc: 5.433 5.433 5.863
angles: 90.00 90.00 90.00
Fractional coordinates of all 5 atoms:
As 0.000 0.500 0.000
As 0.500 0.000 0.000
Bi 0.000 0.000 0.000
Br 0.000 0.000 0.500
Li 0.500 0.500 0.500

## Properties
Symmetry = P4/mmm, No. 123
N(E_F) = 0.62 states/eV per atom
E_form (uncorrected) = 0.39 eV per atom
Total magnetic moment = 0.28 μB/atom

***

The following is a meta-GGA SCAN calculation of Li2PdC at its PBEsol-relaxed geometry, from the Alexandria database.

abc: 3.819 5.900 5.900
angles: 83.99 71.11 71.11
Fractional coordinates of all 8 atoms:
C 0.250 0.500 0.500
C 0.500 0.000 0.000
Pd 0.750 0.500 0.500
Pd 0.000 0.000 0.000
Li 0.278 0.847 0.347
Li 0.472 0.153 0.653
Li 0.375 0.347 0.153
Li 0.875 0.653 0.847

## Properties
Symmetry = I-42d, No. 122
N(E_F) = 0.21 states/eV per atom
Total magnetic moment = 0.00 μB/atom
Calculated formation energy = 0.200 eV per atom

***

The following is a meta-GGA SCAN calculation of SrLa at its PBEsol-relaxed geometry, from the Alexandria database.

abc: 3.878 3.878 13.046
angles: 81.45 81.45 60.00
Fractional coordinates of all 4 atoms:
Sr 0.621 0.621 0.137
Sr 0.379 0.379 0.863
La 0.131 0.131 0.608
La 0.869 0.869 0.392

## Properties
Symmetry = R-3m, No. 166
N(E_F) = 1.11 states/eV per atom
Total magnetic moment = 0.05 μB/atom
Distance to the lowest polymorph of the same formula = 19.4 meV per atom
Calculated formation energy = 0.094 eV per atom

***

The following is a meta-GGA SCAN calculation of SrAl2Ni at its PBEsol-relaxed geometry, from the Alexandria database.

abc: 4.217 4.217 6.121
angles: 69.85 69.85 60.00
Fractional coordinates of all 4 atoms:
Sr 0.752 0.752 0.745
Al 0.946 0.946 0.162
Al 0.223 0.223 0.330
Ni 0.573 0.573 0.282

## Properties
Symmetry = R3m, No. 160
N(E_F) = 0.49 states/eV per atom
Total magnetic moment = 0.06 μB/atom
Calculated formation energy = -0.380 eV per atom

***

The following is a meta-GGA SCAN calculation of YTl2In at its PBEsol-relaxed geometry, from the Alexandria database.

abc: 3.799 3.973 6.834
angles: 90.00 90.00 90.00
Fractional coordinates of all 4 atoms:
In 0.500 0.500 0.500
Tl 0.000 0.000 0.742
Tl 0.000 0.000 0.258
Y 0.500 0.500 0.000

## Properties
Symmetry = Pmmm, No. 47
N(E_F) = 0.67 states/eV per atom
Total magnetic moment = 0.07 μB/atom
Calculated formation energy = -0.247 eV per atom

***

The following is a meta-GGA SCAN calculation of Be2FeAs2 at its PBEsol-relaxed geometry, from the Alexandria database.

abc: 3.818 3.818 5.623
angles: 109.85 109.85 90.00
Fractional coordinates of all 5 atoms:
Be 0.398 0.398 0.796
Be 0.602 0.602 0.204
As 0.250 0.750 0.500
As 0.750 0.250 0.500
Fe 0.000 0.000 0.000

## Properties
Symmetry = I4/mmm, No. 139
N(E_F) = 0.31 states/eV per atom
Total magnetic moment = 0.68 μB/atom
Calculated formation energy = 0.566 eV per atom

***

The following is a meta-GGA SCAN calculation of CrAsRu2 at its PBEsol-relaxed geometry, from the Alexandria database.

abc: 2.709 2.709 8.364
angles: 90.00 90.00 116.82
Fractional coordinates of all 4 atoms:
As 0.500 0.500 0.500
Cr 0.500 0.500 0.000
Ru 0.000 0.000 0.238
Ru 0.000 0.000 0.762

## Properties
Symmetry = Cmmm, No. 65
N(E_F) = 1.00 states/eV per atom
Total magnetic moment = 0.40 μB/atom
Calculated formation energy = 0.396 eV per atom

***

The following is a meta-GGA SCAN calculation of AlPPt2 at its PBEsol-relaxed geometry, from the Alexandria database.

abc: 2.928 2.928 7.989
angles: 79.44 79.44 60.00
Fractional coordinates of all 4 atoms:
P 0.000 0.000 0.000
Al 0.500 0.500 0.500
Pt 0.251 0.251 0.246
Pt 0.749 0.749 0.754

## Properties
Symmetry = R-3m, No. 166
N(E_F) = 0.51 states/eV per atom
Total magnetic moment = 0.00 μB/atom
Distance to the lowest polymorph of the same formula = 170.2 meV per atom
Calculated formation energy = -0.473 eV per atom

***

The following is a meta-GGA SCAN calculation of Be2SnPd at its PBEsol-relaxed geometry, from the Alexandria database.

abc: 5.187 5.489 5.489
angles: 77.10 61.80 61.80
Fractional coordinates of all 8 atoms:
Be 0.168 0.957 0.457
Be 0.582 0.043 0.543
Be 0.375 0.457 0.043
Be 0.875 0.543 0.957
Sn 0.750 0.500 0.500
Sn 0.000 0.000 0.000
Pd 0.250 0.500 0.500
Pd 0.500 0.000 0.000

## Properties
Symmetry = I-42d, No. 122
N(E_F) = 0.38 states/eV per atom
Total magnetic moment = 0.00 μB/atom
Calculated formation energy = 0.304 eV per atom

***

The following is a meta-GGA SCAN calculation of Cs2BeCl4 at its PBEsol-relaxed geometry, from the Alexandria database.

abc: 7.082 9.616 12.315
angles: 90.00 90.00 90.00
Fractional coordinates of all 28 atoms:
Cs 0.750 0.352 0.896
Cs 0.750 0.852 0.604
Cs 0.250 0.648 0.104
Cs 0.250 0.148 0.396
Cs 0.750 0.026 0.173
Cs 0.750 0.526 0.327
Cs 0.250 0.974 0.827
Cs 0.250 0.474 0.673
Be 0.750 0.254 0.582
Be 0.750 0.754 0.918
Be 0.250 0.746 0.418
Be 0.250 0.246 0.082
Cl 0.750 0.963 0.898
Cl 0.750 0.463 0.602
Cl 0.250 0.037 0.102
Cl 0.250 0.537 0.398
Cl 0.750 0.196 0.424
Cl 0.750 0.696 0.076
Cl 0.250 0.804 0.576
Cl 0.250 0.304 0.924
Cl 0.484 0.826 0.348
Cl 0.016 0.326 0.152
Cl 0.984 0.174 0.652
Cl 0.516 0.674 0.848
Cl 0.516 0.174 0.652
Cl 0.984 0.674 0.848
Cl 0.016 0.826 0.348
Cl 0.484 0.326 0.152

## Properties
Symmetry = Pnma, No. 62
N(E_F) = 0.00 states/eV per atom
E_form (uncorrected) = -2.06 eV per atom
Total magnetic moment = 0.00 μB/atom